Computed, not measured: a relaxed structure of OsW2IF at the PBE+U level of DFT.

Calculated values
E_tot: -3.68 eV per atom

Structure (CIF):
```
data_OsW2IF
_chemical_formula_sum 'Os1 W2 I1 F1'
_symmetry_space_group_name_H-M 'P 4/m m m'
_symmetry_Int_Tables_number 123
_symmetry_space_group_name_Hall '-P 4 2'
_cell_length_a 5.3522
_cell_length_b 5.3522
_cell_length_c 4.0751
_cell_angle_alpha 90.00
_cell_angle_beta 90.00
_cell_angle_gamma 90.00
loop_
_atom_site_label
_atom_site_fract_x
_atom_site_fract_y
_atom_site_fract_z
Os1 0.0000 0.0000 0.0000
W1 0.0000 0.5000 0.5000
I1 0.5000 0.5000 0.5000
F1 0.5000 0.5000 0.0000
```